{
  "formula": "Nd8TmMg2",
  "functional": "PBE",
  "state": "optimized geometry",
  "lattice": [[5.664, 1.351, 0.000], [2.165, 8.740, 0.000], [1.083, 4.370, 7.961]],
  "species": ["Nd", "Nd", "Nd", "Nd", "Nd", "Nd", "Nd", "Nd", "Mg", "Mg", "Tm"],
  "frac_coords": [[0.138, 0.677, 0.226], [0.500, 0.210, 0.580], [0.705, 0.591, 0.000], [0.500, 0.790, 0.420], [0.138, 0.903, 0.774], [0.862, 0.323, 0.774], [0.295, 0.409, 0.000], [0.862, 0.097, 0.226], [0.000, 0.693, 0.614], [0.000, 0.307, 0.386], [0.500, 0.000, 0.000]],
  "relative_energy_mev_per_atom": 104,
  "dos_ef_per_ev_cell": 13.64,
  "final_energy_ev_per_atom": -4.05
}

{
  "formula": "Nd4TmMg2",
  "functional": "PBE",
  "state": "optimized geometry",
  "lattice": [[5.631, 0.000, 0.000], [2.815, 4.876, 0.000], [2.815, 1.625, 8.952]],
  "species": ["Tm", "Nd", "Nd", "Nd", "Nd", "Mg", "Mg"],
  "frac_coords": [[0.500, 0.500, 0.500], [0.869, 0.869, 0.392], [0.131, 0.131, 0.608], [0.742, 0.742, 0.774], [0.258, 0.258, 0.226], [0.620, 0.620, 0.140], [0.380, 0.380, 0.860]],
  "dos_ef_per_ev_cell": 9.13,
  "final_energy_ev_per_atom": -3.56
}

{
  "formula": "NdTm2Mg",
  "functional": "PBE",
  "state": "optimized geometry",
  "lattice": [[4.972, 0.000, 0.000], [0.000, 4.890, 0.000], [0.000, 0.000, 4.890]],
  "species": ["Tm", "Tm", "Nd", "Mg"],
  "frac_coords": [[0.000, 0.500, 0.000], [0.000, 0.000, 0.500], [0.500, 0.000, 0.000], [0.500, 0.500, 0.500]],
  "relative_energy_mev_per_atom": 50,
  "dos_ef_per_ev_cell": 6.84,
  "final_energy_ev_per_atom": -3.80
}

{
  "formula": "Nd2TmMg3",
  "functional": "PBE",
  "state": "optimized geometry",
  "lattice": [[-2.281, 3.076, 0.015], [-2.954, -2.195, 1.059], [2.600, 1.873, 11.134]],
  "species": ["Mg", "Mg", "Mg", "Tm", "Nd", "Nd"],
  "frac_coords": [[0.000, 0.000, 0.656], [0.000, 0.000, 0.000], [0.000, 0.000, 0.344], [0.500, 0.500, 0.500], [0.500, 0.500, 0.828], [0.500, 0.500, 0.172]],
  "dos_ef_per_ev_cell": 7.01,
  "final_energy_ev_per_atom": -3.22
}

{
  "formula": "NdTmMg4",
  "functional": "PBE",
  "state": "optimized geometry",
  "lattice": [[6.061, 0.000, 0.000], [3.031, 5.249, 0.000], [3.031, 1.750, 4.949]],
  "species": ["Nd", "Tm", "Mg", "Mg", "Mg", "Mg"],
  "frac_coords": [[0.250, 0.250, 0.250], [0.000, 0.000, 0.000], [0.625, 0.625, 0.125], [0.625, 0.125, 0.625], [0.625, 0.625, 0.625], [0.125, 0.625, 0.625]],
  "relative_energy_mev_per_atom": 4,
  "dos_ef_per_ev_cell": 6.30,
  "final_energy_ev_per_atom": -2.68
}

{
  "formula": "Nd12Tm3Mg",
  "functional": "PBE",
  "state": "optimized geometry",
  "lattice": [[5.108, 0.000, 0.000], [0.000, 5.108, 0.000], [0.000, 0.000, 20.517]],
  "species": ["Nd", "Nd", "Nd", "Nd", "Nd", "Nd", "Nd", "Nd", "Nd", "Nd", "Nd", "Nd", "Tm", "Tm", "Tm", "Mg"],
  "frac_coords": [[0.500, 0.000, 0.876], [0.000, 0.500, 0.876], [0.500, 0.000, 0.626], [0.500, 0.500, 0.000], [0.500, 0.500, 0.248], [0.500, 0.000, 0.124], [0.000, 0.500, 0.626], [0.000, 0.500, 0.374], [0.500, 0.500, 0.500], [0.000, 0.500, 0.124], [0.500, 0.000, 0.374], [0.500, 0.500, 0.752], [0.000, 0.000, 0.752], [0.000, 0.000, 0.248], [0.000, 0.000, 0.500], [0.000, 0.000, 0.000]],
  "dos_ef_per_ev_cell": 22.05,
  "final_energy_ev_per_atom": -4.51
}